DFT (PBE-GGA) results for a relaxed structure of K3CdAg.

Cell lengths 4.9031, 11.3157, 7.9778 Å; angles 90.00, 90.09, 90.00 degrees
Fractional coordinates of all 10 atoms:
K 0.2458 0.2500 0.4727
K 0.2526 0.5359 0.1957
K 0.2526 0.9641 0.1957
K 0.7474 0.0359 0.8043
K 0.7474 0.4641 0.8043
K 0.7542 0.7500 0.5273
Cd 0.2473 0.2500 0.9715
Cd 0.7527 0.7500 0.0285
Ag 0.2526 0.7500 0.8527
Ag 0.7474 0.2500 0.1473

Calculated values
**Energy**: -1.42 eV per atom
**SG**: P2_1/m (11)
**Energy relative to the lowest polymorph listed for this composition**: 0 meV/atom